DFT (PBE) results for K3SnBi2Se6 after structural relaxation.

Cell lengths 7.4085, 7.4085, 8.1628 Å; angles 98.71, 98.71, 120.01 degrees
Fractional coordinates of all 12 atoms:
K (0.1684, 0.8316, 0.5000)
K (0.8316, 0.1684, 0.5000)
K (0.5000, 0.5000, 0.5000)
Sn (0.0000, 0.0000, 0.0000)
Bi (0.3336, 0.6664, 0.0000)
Bi (0.6664, 0.3336, 0.0000)
Se (0.9298, 0.6031, 0.7896)
Se (0.7434, 0.7434, 0.2108)
Se (0.0702, 0.3969, 0.2104)
Se (0.6031, 0.9298, 0.7896)
Se (0.2566, 0.2566, 0.7892)
Se (0.3969, 0.0702, 0.2104)

Calculated values
VASP energy = -3.76 eV/atom
V = 369.78 Å³ per cell
Symmetry = C2/m, No. 12
Formation energy (no corrections) = -767 meV per atom

***

DFT (PBE) results for K3SnBi3Se8 after structural relaxation.

Cell lengths 8.4413, 8.4417, 9.3329 Å; angles 116.91, 90.00, 120.00 degrees
Fractional coordinates of all 15 atoms:
K (0.0000, 0.0000, 0.0000)
K (0.0000, 0.5000, 0.0000)
K (0.5000, 0.5000, 0.0000)
Sn (0.0000, 0.0000, 0.5000)
Bi (0.5000, 0.0000, 0.5000)
Bi (0.5000, 0.5000, 0.5000)
Bi (0.0000, 0.5000, 0.5000)
Se (0.2624, 0.5249, 0.2874)
Se (0.7376, 0.4751, 0.7126)
Se (0.7782, 0.5565, 0.3001)
Se (0.2218, 0.4435, 0.6999)
Se (0.7782, 0.0218, 0.3002)
Se (0.2218, 0.9782, 0.6998)
Se (0.2435, 0.0218, 0.3002)
Se (0.7565, 0.9782, 0.6998)

Calculated values
VASP energy = -3.83 eV/atom
V = 491.08 Å³ per cell
Symmetry = R-3m, No. 166
Formation energy (no corrections) = -711 meV per atom

***

DFT (PBE) results for K3SrBi2Se6 after structural relaxation.

Cell lengths 7.5394, 7.5394, 8.2053 Å; angles 98.85, 98.85, 120.05 degrees
Fractional coordinates of all 12 atoms:
K (0.1645, 0.8355, 0.5000)
K (0.8355, 0.1645, 0.5000)
K (0.5000, 0.5000, 0.5000)
Sr (0.0000, 0.0000, 0.0000)
Bi (0.3329, 0.6671, 0.0000)
Bi (0.6671, 0.3329, 0.0000)
Se (0.9287, 0.5788, 0.7868)
Se (0.7218, 0.7218, 0.2133)
Se (0.0713, 0.4212, 0.2132)
Se (0.5788, 0.9287, 0.7868)
Se (0.2782, 0.2782, 0.7867)
Se (0.4212, 0.0713, 0.2132)

Calculated values
VASP energy = -3.79 eV/atom
V = 384.11 Å³ per cell
Symmetry = C2/m, No. 12
Formation energy (no corrections) = -986 meV per atom